8
Lattice="3.736 0.000 0.000 0.000 3.736 0.000 0.000 0.000 15.075" Properties=species:S:1:pos:R:3 comment="Y4TlHg3 | Alexandria via LeMat-Bulk | PBE-GGA | optimized geometry" formation_enthalpy_0k_ev_per_atom=-0.48 crystal_system=tetragonal rho_g_cm3=9.169 energy_ev_per_atom=-4.119 magnetic_moment_mub_per_atom=0.0009 pbc="T T T"
Y 0.000 0.000 1.861
Y 0.000 0.000 5.558
Y 0.000 0.000 9.518
Y 0.000 0.000 13.215
Tl 1.868 1.868 7.538
Hg 1.868 1.868 0.000
Hg 1.868 1.868 3.704
Hg 1.868 1.868 11.372